A | The following is a PBE calculation of an optimized crystal structure of BeTc3Ni, from Alexandria.

a b c (Å): 4.0742 4.0742 4.0742
angles (deg): 90.00 90.00 90.00
Atoms (fractional coordinates):
Be 0.0000 0.0000 0.0000
Tc 0.0000 0.0000 0.5000
Tc 0.0000 0.5000 0.0000
Tc 0.5000 0.0000 0.0000
Ni 0.5000 0.5000 0.5000

Output
- Volume: 68 Å³ per cell


B | The following is a PBE calculation of an optimized crystal structure of BeTc3Ni, from Alexandria.

a b c (Å): 4.3853 4.3853 4.3853
angles (deg): 90.00 90.00 90.00
Atoms (fractional coordinates):
Be 0.0000 0.0000 0.0000
Tc 0.0000 0.5000 0.5000
Tc 0.5000 0.0000 0.5000
Tc 0.5000 0.5000 0.0000
Ni 0.5000 0.5000 0.5000

Output
- Volume: 84 Å³ per cell


It is B that is the least stable of them.


A | The following is a PBE calculation of an optimized crystal structure of BeTcNi3, from Alexandria.

a b c (Å): 3.8906 3.8906 3.8906
angles (deg): 90.00 90.00 90.00
Atoms (fractional coordinates):
Be 0.0000 0.0000 0.0000
Tc 0.5000 0.5000 0.5000
Ni 0.0000 0.0000 0.5000
Ni 0.0000 0.5000 0.0000
Ni 0.5000 0.0000 0.0000

Output
- Volume: 59 Å³ per cell


B | The following is a PBE calculation of an optimized crystal structure of BeTcNi3, from Alexandria.

a b c (Å): 4.4280 4.4280 4.4280
angles (deg): 90.00 90.00 90.00
Atoms (fractional coordinates):
Be 0.0000 0.0000 0.0000
Tc 0.5000 0.5000 0.5000
Ni 0.0000 0.5000 0.5000
Ni 0.5000 0.0000 0.5000
Ni 0.5000 0.5000 0.0000

Output
- Volume: 87 Å³ per cell


It is B that is the least stable of them.


A | The following is a PBE calculation of an optimized crystal structure of Be3TcNi, from Alexandria.

a b c (Å): 3.8102 3.8102 3.8102
angles (deg): 90.00 90.00 90.00
Atoms (fractional coordinates):
Be 0.0000 0.0000 0.5000
Be 0.0000 0.5000 0.0000
Be 0.5000 0.0000 0.0000
Tc 0.5000 0.5000 0.5000
Ni 0.0000 0.0000 0.0000

Output
- Volume: 55 Å³ per cell


B | The following is a PBE calculation of an optimized crystal structure of Be3TcNi, from Alexandria.

a b c (Å): 4.0872 4.0872 4.0872
angles (deg): 90.00 90.00 90.00
Atoms (fractional coordinates):
Be 0.0000 0.0000 0.5000
Be 0.0000 0.5000 0.0000
Be 0.5000 0.0000 0.0000
Tc 0.0000 0.0000 0.0000
Ni 0.5000 0.5000 0.5000

Output
- Volume: 68 Å³ per cell


It is B that is the least stable of them.


A | The following is a PBE calculation of an optimized crystal structure of BeNiTe3, from Alexandria.

a b c (Å): 4.8790 4.8790 4.8790
angles (deg): 90.00 90.00 90.00
Atoms (fractional coordinates):
Be 0.0000 0.0000 0.0000
Ni 0.5000 0.5000 0.5000
Te 0.0000 0.0000 0.5000
Te 0.0000 0.5000 0.0000
Te 0.5000 0.0000 0.0000

Output
- Volume: 116 Å³ per cell


B | The following is a PBE calculation of an optimized crystal structure of BeNiTe3, from Alexandria.

a b c (Å): 5.0045 5.0045 5.0045
angles (deg): 90.00 90.00 90.00
Atoms (fractional coordinates):
Be 0.0000 0.0000 0.0000
Ni 0.5000 0.5000 0.5000
Te 0.0000 0.5000 0.5000
Te 0.5000 0.0000 0.5000
Te 0.5000 0.5000 0.0000

Output
- Volume: 125 Å³ per cell


It is A that is the least stable of them.


A | The following is a PBE calculation of an optimized crystal structure of Be2NiTe2, from Alexandria.

a b c (Å): 4.9067 4.9067 4.9067
angles (deg): 116.98 116.98 95.32
Atoms (fractional coordinates):
Be 0.1642 0.1642 0.0000
Be 0.8358 0.8358 0.0000
Ni 0.5000 0.5000 0.0000
Te 0.2500 0.7500 0.5000
Te 0.7500 0.2500 0.5000

Output
- Volume: 87 Å³ per cell


B | The following is a PBE calculation of an optimized crystal structure of Be2NiTe2, from Alexandria.

a b c (Å): 6.6799 6.6799 3.6159
angles (deg): 90.00 90.00 90.00
Atoms (fractional coordinates):
Be 0.1214 0.3786 0.0000
Be 0.3786 0.8786 0.0000
Be 0.6214 0.1214 0.0000
Be 0.8786 0.6214 0.0000
Ni 0.0000 0.0000 0.0000
Ni 0.5000 0.5000 0.0000
Te 0.1945 0.6945 0.5000
Te 0.3055 0.1945 0.5000
Te 0.6945 0.8055 0.5000
Te 0.8055 0.3055 0.5000

Output
- Volume: 161 Å³ per cell


It is A that is the least stable of them.


A | The following is a PBE calculation of an optimized crystal structure of BeNi3Te, from Alexandria.

a b c (Å): 4.0413 4.0413 4.0413
angles (deg): 90.00 90.00 90.00
Atoms (fractional coordinates):
Be 0.0000 0.0000 0.0000
Ni 0.0000 0.0000 0.5000
Ni 0.0000 0.5000 0.0000
Ni 0.5000 0.0000 0.0000
Te 0.5000 0.5000 0.5000

Output
- Volume: 66 Å³ per cell


B | The following is a PBE calculation of an optimized crystal structure of BeNi3Te, from Alexandria.

a b c (Å): 4.5899 4.5899 4.5899
angles (deg): 90.00 90.00 90.00
Atoms (fractional coordinates):
Be 0.0000 0.0000 0.0000
Ni 0.0000 0.5000 0.5000
Ni 0.5000 0.0000 0.5000
Ni 0.5000 0.5000 0.0000
Te 0.5000 0.5000 0.5000

Output
- Volume: 97 Å³ per cell


It is B that is the least stable of them.


A | The following is a PBE calculation of an optimized crystal structure of ThBeNi, from Alexandria.

a b c (Å): 6.3456 6.3456 5.6849
angles (deg): 90.00 90.00 90.00
Atoms (fractional coordinates):
Th 0.2267 0.2267 0.0000
Th 0.2733 0.7267 0.2500
Th 0.7267 0.2733 0.7500
Th 0.7733 0.7733 0.5000
Be 0.1162 0.1162 0.5000
Be 0.3838 0.6162 0.7500
Be 0.6162 0.3838 0.2500
Be 0.8838 0.8838 0.0000
Ni 0.1417 0.8583 0.7500
Ni 0.3583 0.3583 0.5000
Ni 0.6417 0.6417 0.0000
Ni 0.8583 0.1417 0.2500

Output
- Volume: 229 Å³ per cell


B | The following is a PBE calculation of an optimized crystal structure of ThBeNi, from Alexandria.

a b c (Å): 4.0841 4.0841 3.6936
angles (deg): 90.00 90.00 120.00
Atoms (fractional coordinates):
Th 0.0000 0.0000 0.0000
Be 0.3333 0.6667 0.5000
Ni 0.6667 0.3333 0.5000

Output
- Volume: 53 Å³ per cell


It is A that is the least stable of them.


A | The following is a PBE calculation of an optimized crystal structure of TiBe2Ni2, from Alexandria.

a b c (Å): 6.5976 6.5976 2.4551
angles (deg): 90.00 90.00 90.00
Atoms (fractional coordinates):
Ti 0.0000 0.0000 0.0000
Ti 0.5000 0.5000 0.0000
Be 0.1595 0.3405 0.5000
Be 0.3405 0.8405 0.5000
Be 0.6595 0.1595 0.5000
Be 0.8405 0.6595 0.5000
Ni 0.1353 0.6353 0.0000
Ni 0.3647 0.1353 0.0000
Ni 0.6353 0.8647 0.0000
Ni 0.8647 0.3647 0.0000

Output
- Volume: 107 Å³ per cell


B | The following is a PBE calculation of an optimized crystal structure of TiBe2Ni2, from Alexandria.

a b c (Å): 6.0682 6.0682 6.0682
angles (deg): 149.77 149.77 43.27
Atoms (fractional coordinates):
Ti 0.0000 0.0000 0.0000
Be 0.2500 0.7500 0.5000
Be 0.7500 0.2500 0.5000
Ni 0.3925 0.3925 0.0000
Ni 0.6075 0.6075 0.0000

Output
- Volume: 56 Å³ per cell


It is B that is the least stable of them.